Record 1
This record from Alexandria describes HoErTm3Sc after structural relaxation. The functional is GGA-PBE.

Cell and atoms, written as POSCAR:
```
HoErTm3Sc
1.0
2.447 -7.348 0.000
2.447 7.348 0.000
0.000 0.000 9.770
Ho Er Tm Sc
2 2 6 2
Cartesian
2.447 7.323 7.328
2.447 -7.323 2.443
2.447 0.000 0.000
2.447 0.000 4.885
2.447 4.886 9.765
2.447 4.886 4.890
2.447 2.481 7.328
2.447 -2.481 2.443
2.447 -4.886 0.005
2.447 -4.886 4.880
2.447 2.461 2.443
2.447 -2.461 7.328
```

**Energy relative to the elements**: 0.04 eV/atom
**Energy**: -57.32 eV for the cell shown
**N(E_F)**: 1.4202 states/eV/atom

Record 2
This record from Alexandria describes NaGa2GeS after structural relaxation. The functional is GGA-PBE.

Cell and atoms, written as POSCAR:
```
NaGa2GeS
1.0
5.221 0.000 0.000
0.000 5.221 0.000
0.000 0.000 4.783
Na Ga Ge S
1 2 1 1
Cartesian
0.000 0.000 0.000
0.000 2.611 0.000
2.611 0.000 0.000
2.611 2.611 2.392
0.000 0.000 2.392
```

**Formation energy without anion corrections**: 0.629 eV/atom
**Energy**: -12.97 eV for the cell shown
**N(E_F)**: 0.6995 states/eV/atom

Record 3
This record from Alexandria describes Pm2Dy5Er3 after structural relaxation. The functional is GGA-PBE.

Cell and atoms, written as POSCAR:
```
Pm2Dy5Er3
1.0
-4.668 10.829 3.381
4.668 -10.829 3.381
4.668 10.829 -3.381
Pm Dy Er
4 10 6
Cartesian
0.941 2.709 0.000
5.609 8.120 0.000
-0.941 2.709 3.381
3.727 8.120 3.381
4.668 -5.391 1.691
3.824 2.697 0.000
4.668 0.000 1.691
3.824 -2.697 3.381
4.668 5.391 1.691
0.000 5.437 1.691
0.843 13.526 0.000
0.000 10.829 1.691
0.843 8.132 3.381
0.000 16.220 1.691
7.003 2.687 0.000
0.000 0.000 1.691
2.336 8.141 0.000
2.332 2.687 3.381
0.000 0.000 5.072
-2.336 8.141 3.381
```

**Energy relative to the elements**: 0.41 eV/atom
**Energy relative to the lowest polymorph listed for this composition**: 2.14 eV/f.u.
**Energy**: -84.17 eV for the cell shown
**N(E_F)**: 1.5311 states/eV/atom

Record 4
This record from Alexandria describes LaPm4Ir after structural relaxation. The functional is GGA-PBE.

Cell and atoms, written as POSCAR:
```
LaPm4Ir
1.0
4.968 -6.539 0.000
4.968 6.539 0.000
-1.770 0.000 5.877
La Pm Ir
2 8 2
Cartesian
3.640 5.231 4.408
4.525 -5.231 1.469
0.880 1.202 5.132
3.130 2.234 2.613
1.764 -1.202 2.194
5.920 2.234 0.325
2.245 -2.234 5.551
6.401 1.202 3.683
5.035 -2.234 3.264
7.286 -1.202 0.745
4.525 -0.005 1.469
3.640 0.005 4.408
```

**Energy relative to the elements**: -0.20 eV/atom
**Energy**: -68.02 eV for the cell shown
**N(E_F)**: 1.1617 states/eV/atom

Record 5
This record from Alexandria describes Ta3CoCl after structural relaxation. The functional is GGA-PBE.

Cell and atoms, written as POSCAR:
```
Ta3CoCl
1.0
4.652 0.000 0.000
0.000 4.652 0.000
0.000 0.000 4.652
Ta Co Cl
3 1 1
Cartesian
0.000 0.000 2.326
0.000 2.326 0.000
2.326 0.000 0.000
0.000 0.000 0.000
2.326 2.326 2.326
```

**Energy relative to the lowest polymorph listed for this composition**: 0.00 eV/f.u.
**Formation energy without anion corrections**: 1.020 eV/atom
**Energy**: -39.41 eV for the cell shown
**N(E_F)**: 1.1136 states/eV/atom

Record 6
This record from Alexandria describes Sm2Ho7In2 after structural relaxation. The functional is GGA-PBE.

Cell and atoms, written as POSCAR:
```
Sm2Ho7In2
1.0
5.833 -3.344 0.000
5.833 3.344 0.000
-0.011 0.000 9.092
Sm Ho In
2 7 2
Cartesian
5.833 1.743 0.000
5.833 -1.743 0.000
-0.005 0.000 4.546
8.745 -1.672 1.849
2.912 1.672 7.243
8.745 1.672 1.849
2.912 -1.672 7.243
5.827 0.000 2.875
5.829 0.000 6.216
3.155 0.000 4.546
8.501 0.000 4.546
```

**Energy relative to the elements**: 0.15 eV/atom
**Energy**: -45.36 eV for the cell shown
**N(E_F)**: 1.1265 states/eV/atom